DFT (PBE) results for a geometry-optimized Ho2CdPd structure.

Unit cell a=3.5812 b=3.5812 c=7.3364 alpha=90.00 beta=90.00 gamma=90.00
Space group P4/mmm (No. 123)
One atom of each set of equivalent atoms:
1 Ho 0.0000 0.0000 0.2267 [2 per cell]
2 Cd 0.5000 0.5000 0.5000 [1 per cell]
3 Pd 0.5000 0.5000 0.0000 [1 per cell]

Results
* total energy: -17.721 eV per cell
* polymorph energy (0 for the lowest one): 0 meV per atom